# 1
An optimized crystal structure of Ba2ZnHgI, computed with PBE.

Properties
DOS at the Fermi energy: 1.043 states/eV per atom
Magnetic moment: 0.00 μB per formula unit
Formation energy (no corrections): -211 meV per atom

Cell: 6.321 6.321 6.059 Å, 90.00 90.00 90.00°
Fractional positions:
1 Ba 0.000 0.500 0.000
2 Ba 0.500 0.000 0.000
3 Zn 0.000 0.000 0.000
4 Hg 0.500 0.500 0.500
5 I 0.000 0.000 0.500

---

# 2
An optimized crystal structure of BaZrHgI6, computed with PBE.

Properties
DOS at the Fermi energy: 0.000 states/eV per atom
Magnetic moment: 0.00 μB per formula unit
Formation energy (no corrections): -1066 meV per atom

Cell: 8.335 8.335 17.779 Å, 90.00 90.00 120.00°
Fractional positions:
1 Ba 0.333 0.667 0.250
2 Ba 0.667 0.333 0.750
3 Zr 0.333 0.667 0.750
4 Zr 0.667 0.333 0.250
5 Hg 0.000 0.000 0.000
6 Hg 0.000 0.000 0.500
7 I 0.052 0.388 0.654
8 I 0.052 0.664 0.846
9 I 0.336 0.388 0.846
10 I 0.336 0.948 0.654
11 I 0.388 0.052 0.154
12 I 0.388 0.336 0.346
13 I 0.612 0.664 0.654
14 I 0.612 0.948 0.846
15 I 0.664 0.052 0.346
16 I 0.664 0.612 0.154
17 I 0.948 0.336 0.154
18 I 0.948 0.612 0.346

---

# 3
An optimized crystal structure of BaInHg2, computed with PBE.

Properties
DOS at the Fermi energy: 0.806 states/eV per atom
Formation energy from the elements: -0.3120 eV/atom
Magnetic moment: 0.00 μB per formula unit

Cell: 5.278 5.278 4.540 Å, 90.00 90.00 90.00°
Fractional positions:
1 Ba 0.000 0.000 0.000
2 In 0.500 0.500 0.000
3 Hg 0.000 0.500 0.500
4 Hg 0.500 0.000 0.500